Computed, not measured: Te3HW after structural relaxation at the PBE-GGA level of DFT.

* excess energy over the best structure of this formula in the dataset: 170 kJ/mol of formula units
* density of states at the Fermi level: 4.064 states/eV per cell

Unit cell a=4.6294 b=4.6294 c=4.6294 alpha=90.00 beta=90.00 gamma=90.00
With the nearest neighbours (Å) after each atom.
Fractional positions:
Te (0.0000, 0.0000, 0.5000)  2 H 2.31
Te (0.0000, 0.5000, 0.0000)  2 H 2.31
Te (0.5000, 0.0000, 0.0000)  2 H 2.31
H (0.0000, 0.0000, 0.0000)  6 Te 2.31
W (0.5000, 0.5000, 0.5000)  12 Te 3.27

---

Computed, not measured: Te2HW after structural relaxation at the PBE-GGA level of DFT.

* excess energy over the best structure of this formula in the dataset: 255 kJ/mol of formula units
* density of states at the Fermi level: 4.085 states/eV per cell

Unit cell a=9.1795 b=9.1795 c=9.1795 alpha=19.36 beta=19.36 gamma=19.36
With the nearest neighbours (Å) after each atom.
Fractional positions:
Te (0.1025, 0.1025, 0.1025)  3 H 2.49, 1 W 2.77
Te (0.8975, 0.8975, 0.8975)  3 H 2.49, 1 W 2.77
H (0.5000, 0.5000, 0.5000)  6 Te 2.49
W (0.0000, 0.0000, 0.0000)  2 Te 2.77, 6 W 3.09

---

Computed, not measured: TeHW2 after structural relaxation at the PBE-GGA level of DFT.

* excess energy over the best structure of this formula in the dataset: 0 kJ/mol of formula units
* density of states at the Fermi level: 5.794 states/eV per cell

Unit cell a=6.2982 b=6.2982 c=6.2982 alpha=133.36 beta=133.36 gamma=68.09
With the nearest neighbours (Å) after each atom.
Fractional positions:
Te (0.0000, 0.0000, 0.0000)  4 W 2.80
Te (0.7500, 0.2500, 0.5000)  4 W 2.80
H (0.2500, 0.7500, 0.5000)  4 W 1.84
H (0.5000, 0.5000, 0.0000)  4 W 1.84
W (0.3032, 0.6250, 0.1782)  2 H 1.84
W (0.3750, 0.5532, 0.6782)  2 H 1.84
W (0.4468, 0.1250, 0.8218)  2 H 1.84
W (0.8750, 0.6968, 0.3218)  2 H 1.84